Entry 1:
# CuReOs2, optimized geometry, DFT PBE
# Fermi-level density of states in states/eV per cell: 15.2
# DFT formation energy in eV/atom: 0.557
# Energy above the most stable polymorph in this dataset in eV per atom: 0.377
data_CuReOs2
_chemical_formula_sum 'Cu4 Re4 Os8'
_symmetry_space_group_name_H-M 'F -4 3 m'
_symmetry_Int_Tables_number 216
_symmetry_space_group_name_Hall 'F -4 2 3'
_cell_length_a 6.106
_cell_length_b 6.106
_cell_length_c 6.106
_cell_angle_alpha 90.00
_cell_angle_beta 90.00
_cell_angle_gamma 90.00
loop_
_atom_site_label
_atom_site_fract_x
_atom_site_fract_y
_atom_site_fract_z
_atom_site_occupancy
Cu1 0.000 0.000 0.000 1
Re1 0.250 0.250 0.250 1
Os1 0.000 0.000 0.500 1
Os2 0.250 0.250 0.750 1

***

Entry 2:
# KYFe, optimized geometry, DFT PBE
# Fermi-level density of states in states/eV per cell: 27.7
# DFT formation energy in eV/atom: 1.125
# Energy above the most stable polymorph in this dataset in eV per atom: 0.510
data_KYFe
_chemical_formula_sum 'K4 Y4 Fe4'
_symmetry_space_group_name_H-M 'F -4 3 m'
_symmetry_Int_Tables_number 216
_symmetry_space_group_name_Hall 'F -4 2 3'
_cell_length_a 7.221
_cell_length_b 7.221
_cell_length_c 7.221
_cell_angle_alpha 90.00
_cell_angle_beta 90.00
_cell_angle_gamma 90.00
loop_
_atom_site_label
_atom_site_fract_x
_atom_site_fract_y
_atom_site_fract_z
_atom_site_occupancy
K1 0.000 0.000 0.000 1
Y1 0.000 0.000 0.500 1
Fe1 0.250 0.250 0.750 1